Entry 1:
# CeIn2Bi3, optimized geometry, DFT GGA-PBE
# Formation energy: -205 meV per atom
# N(E_F): 9.27 states/eV per cell
# Total magnetic moment: 1.2 μB per formula unit
# E_tot: -4.047 eV/atom
data_CeIn2Bi3
_chemical_formula_sum 'Ce1 In2 Bi3'
_space_group_name_H-M_alt 'P -3 m 1'
_space_group_IT_number 164
_space_group_name_Hall '-P 3 2"'
_cell_length_a 5.5515
_cell_length_b 5.5515
_cell_length_c 6.6977
_cell_angle_alpha 90.00
_cell_angle_beta 90.00
_cell_angle_gamma 120.00
loop_
_atom_site_label
_atom_site_type_symbol
_atom_site_fract_x
_atom_site_fract_y
_atom_site_fract_z
Ce1 Ce 0.0000 0.0000 0.0000
In1 In 0.3333 0.6667 0.7676
Bi1 Bi 0.0000 0.0000 0.5000
Bi2 Bi 0.3333 0.6667 0.2744

=====

Entry 2:
# CeInBi2, optimized geometry, DFT GGA-PBE
# Formation energy: -401 meV per atom
# N(E_F): 6.44 states/eV per cell
# Total magnetic moment: 0.9 μB per formula unit
# E_tot: -4.510 eV/atom
data_CeInBi2
_chemical_formula_sum 'Ce1 In1 Bi2'
_space_group_name_H-M_alt 'P 4/m m m'
_space_group_IT_number 123
_space_group_name_Hall '-P 4 2'
_cell_length_a 4.250
_cell_length_b 4.250
_cell_length_c 6.708
_cell_angle_alpha 90.00
_cell_angle_beta 90.00
_cell_angle_gamma 90.00
loop_
_atom_site_label
_atom_site_type_symbol
_atom_site_fract_x
_atom_site_fract_y
_atom_site_fract_z
Ce1 Ce 0.000 0.000 0.000
In1 In 0.000 0.000 0.500
Bi1 Bi 0.500 0.500 0.239

=====

Entry 3:
# Ce2InBi5, optimized geometry, DFT GGA-PBE
# Formation energy: -458 meV per atom
# N(E_F): 21.59 states/eV per cell
# Total magnetic moment: 0.9 μB per formula unit
# E_tot: -4.709 eV/atom
data_Ce2InBi5
_chemical_formula_sum 'Ce4 In2 Bi10'
_space_group_name_H-M_alt 'P b a m'
_space_group_IT_number 55
_cell_length_a 6.838
_cell_length_b 13.634
_cell_length_c 5.077
_cell_angle_alpha 90.00
_cell_angle_beta 90.00
_cell_angle_gamma 90.00
loop_
_space_group_symop_operation_xyz
'x,y,z'
'-x,-y,-z'
'-x,-y,z'
'x,y,-z'
'x+1/2,-y+1/2,-z'
'-x+1/2,y+1/2,z'
'-x+1/2,y+1/2,-z'
'x+1/2,-y+1/2,z'
loop_
_atom_site_label
_atom_site_type_symbol
_atom_site_fract_x
_atom_site_fract_y
_atom_site_fract_z
Ce1 Ce 0.216 0.131 0.000
In1 In 0.000 0.500 0.500
Bi1 Bi 0.000 0.000 0.500
Bi2 Bi 0.034 0.746 0.500
Bi3 Bi 0.217 0.383 0.000

=====

Entry 4:
# CeIn2Bi4, optimized geometry, DFT GGA-PBE
# Formation energy: -230 meV per atom
# N(E_F): 14.85 states/eV per cell
# Total magnetic moment: 0.8 μB per formula unit
# E_tot: -4.078 eV/atom
data_CeIn2Bi4
_chemical_formula_sum 'Ce2 In4 Bi8'
_space_group_name_H-M_alt 'C m m m'
_space_group_IT_number 65
_space_group_name_Hall '-C 2 2'
_cell_length_a 9.568
_cell_length_b 9.776
_cell_length_c 4.732
_cell_angle_alpha 90.00
_cell_angle_beta 90.00
_cell_angle_gamma 90.00
loop_
_atom_site_label
_atom_site_type_symbol
_atom_site_fract_x
_atom_site_fract_y
_atom_site_fract_z
Ce1 Ce 0.000 0.000 0.000
In1 In 0.000 0.260 0.500
Bi1 Bi 0.233 0.500 0.500
Bi2 Bi 0.250 0.250 0.000

=====

Please write out number 4 again, unchanged.
# CeIn2Bi4, optimized geometry, DFT GGA-PBE
# Formation energy: -230 meV per atom
# N(E_F): 14.85 states/eV per cell
# Total magnetic moment: 0.8 μB per formula unit
# E_tot: -4.078 eV/atom
data_CeIn2Bi4
_chemical_formula_sum 'Ce2 In4 Bi8'
_space_group_name_H-M_alt 'C m m m'
_space_group_IT_number 65
_space_group_name_Hall '-C 2 2'
_cell_length_a 9.568
_cell_length_b 9.776
_cell_length_c 4.732
_cell_angle_alpha 90.00
_cell_angle_beta 90.00
_cell_angle_gamma 90.00
loop_
_atom_site_label
_atom_site_type_symbol
_atom_site_fract_x
_atom_site_fract_y
_atom_site_fract_z
Ce1 Ce 0.000 0.000 0.000
In1 In 0.000 0.260 0.500
Bi1 Bi 0.233 0.500 0.500
Bi2 Bi 0.250 0.250 0.000

=====

Please write out number 3 again, unchanged.
# Ce2InBi5, optimized geometry, DFT GGA-PBE
# Formation energy: -458 meV per atom
# N(E_F): 21.59 states/eV per cell
# Total magnetic moment: 0.9 μB per formula unit
# E_tot: -4.709 eV/atom
data_Ce2InBi5
_chemical_formula_sum 'Ce4 In2 Bi10'
_space_group_name_H-M_alt 'P b a m'
_space_group_IT_number 55
_cell_length_a 6.838
_cell_length_b 13.634
_cell_length_c 5.077
_cell_angle_alpha 90.00
_cell_angle_beta 90.00
_cell_angle_gamma 90.00
loop_
_space_group_symop_operation_xyz
'x,y,z'
'-x,-y,-z'
'-x,-y,z'
'x,y,-z'
'x+1/2,-y+1/2,-z'
'-x+1/2,y+1/2,z'
'-x+1/2,y+1/2,-z'
'x+1/2,-y+1/2,z'
loop_
_atom_site_label
_atom_site_type_symbol
_atom_site_fract_x
_atom_site_fract_y
_atom_site_fract_z
Ce1 Ce 0.216 0.131 0.000
In1 In 0.000 0.500 0.500
Bi1 Bi 0.000 0.000 0.500
Bi2 Bi 0.034 0.746 0.500
Bi3 Bi 0.217 0.383 0.000

=====

formation energy of number 2 (CeInBi2)?
-401 meV per atom